VASP calculation (PBE-GGA) on an optimized crystal structure of TmSnPd.

## Properties
Density   10.181 Mg/m³
Total DFT energy (no corrections)   -49.34 eV per cell
Total magnetization   0.0 μB/cell
ΔH_f (0 K)   -2.78 eV per formula unit
V   21.42 Å³/atom

Cell lengths 3.8397, 7.6149, 7.6149 Å; angles 120.00, 90.00, 90.00 degrees
Last column: nearest neighbours and their distance in Å.
Element x y z (fractional)
Tm: 0.0000 0.0000 0.5984  5 Pd 3.01-3.06, 6 Sn 3.19-3.31
Tm: 0.0000 0.5984 0.0000  5 Pd 3.01-3.06, 6 Sn 3.19-3.31
Tm: 0.0000 0.4016 0.4016  5 Pd 3.01-3.06, 6 Sn 3.19-3.31
Sn: 0.5000 0.2642 0.0000  4 Pd 2.78-2.84
Sn: 0.5000 0.0000 0.2642  4 Pd 2.78-2.84
Sn: 0.5000 0.7358 0.7358  4 Pd 2.78-2.84
Pd: 0.5000 0.3333 0.6667  3 Sn 2.84, 6 Tm 3.01
Pd: 0.0000 0.0000 0.0000  6 Sn 2.78, 3 Tm 3.06
Pd: 0.5000 0.6667 0.3333  3 Sn 2.84, 6 Tm 3.01

VASP calculation (PBE-GGA) on an optimized crystal structure of AcGaAu4.

## Properties
Density   13.491 Mg/m³
ΔE to the lowest computed polymorph   65.5 meV per atom
Total DFT energy (no corrections)   -22.82 eV per cell
Total magnetization   0.0 μB/cell
ΔH_f (0 K)   -2.57 eV per formula unit
V   22.25 Å³/atom

Cell lengths 5.7367, 5.7367, 5.7367 Å; angles 60.00, 60.00, 60.00 degrees
Last column: nearest neighbours and their distance in Å.
Element x y z (fractional)
Ac: 0.2500 0.2500 0.2500  12 Au 3.37, 4 Ga 3.51
Au: 0.6258 0.6258 0.1227  6 Au 2.85-2.89
Au: 0.6258 0.1227 0.6258  6 Au 2.85-2.89
Au: 0.6258 0.6258 0.6258  6 Au 2.85-2.89
Au: 0.1227 0.6258 0.6258  6 Au 2.85-2.89
Ga: 0.0000 0.0000 0.0000  12 Au 3.36, 4 Ac 3.51

VASP calculation (PBE-GGA) on an optimized crystal structure of Tb9SmMg2.

## Properties
Density   7.340 Mg/m³
Total DFT energy (no corrections)   -49.30 eV per cell
Total magnetization   0.0 μB/cell
ΔH_f (0 K)   0.28 eV per formula unit
V   30.72 Å³/atom

Cell lengths 4.9685, 4.9685, 14.9321 Å; angles 90.00, 90.00, 90.00 degrees
Last column: nearest neighbours and their distance in Å.
Element x y z (fractional)
Tb: 0.5000 0.5000 0.0000  4 Sm 3.51, 8 Tb 3.56
Tb: 0.5000 0.5000 0.3373  8 Tb 3.47-3.52, 4 Mg 3.51
Tb: 0.5000 0.5000 0.6627  8 Tb 3.47-3.52, 4 Mg 3.51
Tb: 0.5000 0.0000 0.1705  8 Tb 3.51-3.56, 2 Mg 3.52, 2 Sm 3.56
Tb: 0.5000 0.0000 0.5000  4 Mg 3.47, 8 Tb 3.47-3.51
Tb: 0.5000 0.0000 0.8295  8 Tb 3.51-3.56, 2 Mg 3.52, 2 Sm 3.56
Tb: 0.0000 0.5000 0.1705  8 Tb 3.51-3.56, 2 Mg 3.52, 2 Sm 3.56
Tb: 0.0000 0.5000 0.5000  4 Mg 3.47, 8 Tb 3.47-3.51
Tb: 0.0000 0.5000 0.8295  8 Tb 3.51-3.56, 2 Mg 3.52, 2 Sm 3.56
Sm: 0.0000 0.0000 0.0000  12 Tb 3.51-3.56
Mg: 0.0000 0.0000 0.3375  12 Tb 3.47-3.52
Mg: 0.0000 0.0000 0.6625  12 Tb 3.47-3.52

VASP calculation (PBE-GGA) on an optimized crystal structure of PtPb3Au.

## Properties
Density   12.824 Mg/m³
ΔE to the lowest computed polymorph   10.2 meV per atom
Total DFT energy (no corrections)   -83.67 eV per cell
Total magnetization   0.0 μB/cell
ΔH_f (0 K)   -0.48 eV per formula unit
V   26.25 Å³/atom

Cell lengths 6.4473, 9.6245, 9.6856 Å; angles 119.12, 90.00, 90.00 degrees
Last column: nearest neighbours and their distance in Å.
Element x y z (fractional)
Pt: 0.1855 0.4107 0.9344  6 Pb 2.82-2.94, 1 Pt 2.86
Pt: 0.8145 0.5893 0.0656  6 Pb 2.82-2.94, 1 Pt 2.86
Pt: 0.6855 0.0893 0.0656  6 Pb 2.82-2.94, 1 Pt 2.86
Pt: 0.3145 0.9107 0.9344  6 Pb 2.82-2.94, 1 Pt 2.86
Pb: 0.0568 0.6424 0.8510  3 Pt 2.84, 1 Au 3.00
Pb: 0.9432 0.3576 0.1490  3 Pt 2.84, 1 Au 3.00
Pb: 0.5568 0.8576 0.1490  3 Pt 2.84, 1 Au 3.00
Pb: 0.4432 0.1424 0.8510  3 Pt 2.84, 1 Au 3.00
Pb: 0.5581 0.4690 0.7952  2 Pt 2.82-2.94
Pb: 0.4419 0.5310 0.2048  2 Pt 2.82-2.94
Pb: 0.0581 0.0310 0.2048  2 Pt 2.82-2.94
Pb: 0.9419 0.9690 0.7952  2 Pt 2.82-2.94
Pb: 0.0953 0.2095 0.6081  1 Pt 2.85, 3 Au 2.90-3.08
Pb: 0.9047 0.7905 0.3919  1 Pt 2.85, 3 Au 2.90-3.08
Pb: 0.5953 0.2905 0.3919  1 Pt 2.85, 3 Au 2.90-3.08
Pb: 0.4047 0.7095 0.6081  1 Pt 2.85, 3 Au 2.90-3.08
Au: 0.8349 0.6069 0.5628  1 Au 2.79, 4 Pb 2.90-3.08
Au: 0.1651 0.3931 0.4372  1 Au 2.79, 4 Pb 2.90-3.08
Au: 0.3349 0.8931 0.4372  1 Au 2.79, 4 Pb 2.90-3.08
Au: 0.6651 0.1069 0.5628  1 Au 2.79, 4 Pb 2.90-3.08